(1)
This record from the Alexandria database describes a relaxed structure of HoMgSc. The functional is PBE.

a b c (Å): 3.2563 5.2752 5.2752
angles (deg): 120.00 90.00 90.00
Element x y z (fractional)
Ho 0.6891 0.6667 0.3333
Sc 0.2618 0.3333 0.6667
Mg 0.0491 0.0000 0.0000

As for the polymorph energy (0 for the lowest one): 79 meV/atom. The value obtained for the density of states at the Fermi level is 4.1 states/eV/f.u. The value obtained for the formation enthalpy at 0 K is 0.061 eV/atom. As for the space group: P3m1 (156).

***

(2)
This record from the Alexandria database describes a relaxed structure of Ho5MgSc5. The functional is PBE.

a b c (Å): 5.7987 5.7987 10.9043
angles (deg): 90.00 90.00 120.00
Last column: magnetic moment on the atom in μB.
Element x y z (fractional)
Sc 0.8339 0.6678 0.5000  0.22
Sc 0.0000 0.0000 0.7293  0.44
Sc 0.8339 0.1661 0.5000  0.22
Sc 0.0000 0.0000 0.2707  0.44
Sc 0.3322 0.1661 0.5000  0.22
Ho 0.3333 0.6667 0.3090  0.38
Ho 0.0000 0.0000 0.0000  0.05
Ho 0.6667 0.3333 0.8257  0.24
Ho 0.3333 0.6667 0.6910  0.38
Ho 0.6667 0.3333 0.1743  0.24
Mg 0.3333 0.6667 0.0000  0.00

The value obtained for the density of states at the Fermi level is 17.6 states/eV/f.u. The value obtained for the formation enthalpy at 0 K is 0.256 eV/atom. As for the space group: P-6m2 (187).

***

(3)
This record from the Alexandria database describes a relaxed structure of Ho7Mg2Sc2. The functional is PBE.

a b c (Å): 8.2755 6.3615 6.3615
angles (deg): 94.54 78.31 78.31
Element x y z (fractional)
Ho 0.1913 0.4750 0.1075
Ho 0.4187 0.8553 0.8553
Ho 0.0000 0.0000 0.0000
Ho 0.5813 0.1447 0.1447
Ho 0.8087 0.5250 0.8925
Ho 0.8087 0.8925 0.5250
Ho 0.1913 0.1075 0.4750
Sc 0.5000 0.3252 0.6748
Sc 0.5000 0.6748 0.3252
Mg 0.1652 0.6122 0.6122
Mg 0.8348 0.3878 0.3878

The value obtained for the density of states at the Fermi level is 16.8 states/eV/f.u. The value obtained for the formation enthalpy at 0 K is 0.078 eV/atom. As for the space group: C2/m (12).

***

(4)
This record from the Alexandria database describes a relaxed structure of Ho3Mg4Sc. The functional is PBE.

a b c (Å): 3.7207 3.7207 15.0269
angles (deg): 90.00 90.00 90.00
Element x y z (fractional)
Ho 0.5000 0.5000 0.5000
Ho 0.5000 0.5000 0.2440
Ho 0.5000 0.5000 0.7560
Mg 0.0000 0.0000 0.8863
Mg 0.0000 0.0000 0.6278
Mg 0.0000 0.0000 0.3722
Mg 0.0000 0.0000 0.1137
Sc 0.5000 0.5000 0.0000

The value obtained for the density of states at the Fermi level is 10.9 states/eV/f.u. The value obtained for the formation enthalpy at 0 K is -0.062 eV/atom. As for the space group: P4/mmm (123).

***

| no. | total energy (eV per atom) |
| --- | --- |
| 1 | -4.11 |
| 2 | -4.85 |
| 3 | -4.28 |
| 4 | -3.37 |